TcPRh2 | PBE | relaxed

Cell: 3.7566 3.7566 3.9108 Å, 90.00 90.00 90.00°
Element x y z (fractional)
1 Tc 0.5000 0.5000 0.5000
2 P 0.0000 0.0000 0.5000
3 Rh 0.5000 0.0000 0.0000
4 Rh 0.0000 0.5000 0.0000

Output
DOS at the Fermi energy in states/eV per cell: 4.85
Energy of formation from the pure elements in eV/atom: 0.01
Raw total energy in eV/atom: -7.607
Crystal system: tetragonal